# Sr2Al3SnAu4 (PBE-GGA, optimized geometry)
data_Sr2Al3SnAu4
_cell_length_a 4.5566
_cell_length_b 4.5566
_cell_length_c 10.8911
_cell_angle_alpha 90.00
_cell_angle_beta 90.00
_cell_angle_gamma 90.00
_space_group_name_H-M_alt 'P 1'
_space_group_IT_number 1
loop_
_space_group_symop_operation_xyz
'x,y,z'
loop_
_atom_site_label
_atom_site_type_symbol
_atom_site_fract_x
_atom_site_fract_y
_atom_site_fract_z
_atom_site_occupancy
Au1 Au 0.0000 0.5000 0.3527 1
Au2 Au 0.5000 0.0000 0.6473 1
Au3 Au 0.0000 0.0000 0.0000 1
Au4 Au 0.5000 0.5000 0.0000 1
Al1 Al 0.0000 0.0000 0.5000 1
Al2 Al 0.0000 0.5000 0.1172 1
Al3 Al 0.5000 0.0000 0.8828 1
Sn1 Sn 0.5000 0.5000 0.5000 1
Sr1 Sr 0.5000 0.0000 0.2427 1
Sr2 Sr 0.0000 0.5000 0.7573 1
# SG: P-4m2 (115)
# ΔE_f: -0.619 eV/atom
# total DFT energy (no corrections): -3.789 eV/atom